Entry 1:
This record from OQMD describes a relaxed structure of ZrCoNiSb. The functional is PBE.

- Size of the total moment: 0.54 μB/f.u.
- Crystal system: cubic
- Mass density: 8.5 g cm⁻³
- Space-group type: F-43m (216)
- ΔE to the lowest computed polymorph: 296 meV per atom

Cell: 4.512 4.512 4.512 Å, 60.00 60.00 60.00°
Positions (direct):
Co  0.750  0.750  0.750
Ni  0.500  0.500  0.500
Sb  0.000  0.000  0.000
Zr  0.250  0.250  0.250



Entry 2:
This record from OQMD describes a relaxed structure of ScCoNi2. The functional is PBE.

- Size of the total moment: 1.32 μB/f.u.
- Crystal system: cubic
- Mass density: 7.2 g cm⁻³
- Space-group type: F-43m (216)
- DFT formation energy: -0.149 eV/atom

Cell: 4.169 4.169 4.169 Å, 60.00 60.00 60.00°
Positions (direct):
Co  0.250  0.250  0.250
Ni  0.000  0.000  0.000
Ni  0.750  0.750  0.750
Sc  0.500  0.500  0.500



Entry 3:
This record from OQMD describes a relaxed structure of ScCoNiSn. The functional is PBE.

- Size of the total moment: 0.95 μB/f.u.
- Crystal system: cubic
- Mass density: 7.5 g cm⁻³
- Space-group type: F-43m (216)
- ΔE to the lowest computed polymorph: 328 meV per atom

Cell: 4.448 4.448 4.448 Å, 60.00 60.00 60.00°
Positions (direct):
Co  0.500  0.500  0.500
Ni  0.750  0.750  0.750
Sc  0.000  0.000  0.000
Sn  0.250  0.250  0.250



Entry 4:
This record from OQMD describes a relaxed structure of ScCoNiSn. The functional is PBE.

- Size of the total moment: 1.46 μB/f.u.
- Crystal system: cubic
- Mass density: 7.4 g cm⁻³
- Space-group type: F-43m (216)
- ΔE to the lowest computed polymorph: 350 meV per atom

Cell: 4.476 4.476 4.476 Å, 60.00 60.00 60.00°
Positions (direct):
Co  0.750  0.750  0.750
Ni  0.000  0.000  0.000
Sc  0.500  0.500  0.500
Sn  0.250  0.250  0.250



Entry 5:
This record from OQMD describes a relaxed structure of ScCoNiSn. The functional is PBE.

- Size of the total moment: 0.57 μB/f.u.
- Crystal system: cubic
- Mass density: 7.8 g cm⁻³
- Space-group type: F-43m (216)
- ΔE to the lowest computed polymorph: 0 meV per atom

Cell: 4.399 4.399 4.399 Å, 60.00 60.00 60.00°
Positions (direct):
Co  0.750  0.750  0.750
Ni  0.250  0.250  0.250
Sc  0.500  0.500  0.500
Sn  0.000  0.000  0.000



Entry 6:
This record from OQMD describes a relaxed structure of ScTlCoNi. The functional is PBE.

- Size of the total moment: 1.03 μB/f.u.
- Crystal system: cubic
- Mass density: 9.8 g cm⁻³
- Space-group type: F-43m (216)
- ΔE to the lowest computed polymorph: 0 meV per atom

Cell: 4.454 4.454 4.454 Å, 60.00 60.00 60.00°
Positions (direct):
Co  0.750  0.750  0.750
Ni  0.250  0.250  0.250
Sc  0.500  0.500  0.500
Tl  0.000  0.000  0.000



Entry 7:
This record from OQMD describes a relaxed structure of ScTlCoNi. The functional is PBE.

- Size of the total moment: 1.41 μB/f.u.
- Crystal system: cubic
- Mass density: 9.4 g cm⁻³
- Space-group type: F-43m (216)
- ΔE to the lowest computed polymorph: 240 meV per atom

Cell: 4.507 4.507 4.507 Å, 60.00 60.00 60.00°
Positions (direct):
Co  0.500  0.500  0.500
Ni  0.750  0.750  0.750
Sc  0.250  0.250  0.250
Tl  0.000  0.000  0.000



Entry 8:
This record from OQMD describes a relaxed structure of ScTlCoNi. The functional is PBE.

- Size of the total moment: 1.26 μB/f.u.
- Crystal system: cubic
- Mass density: 9.4 g cm⁻³
- Space-group type: F-43m (216)
- ΔE to the lowest computed polymorph: 236 meV per atom

Cell: 4.513 4.513 4.513 Å, 60.00 60.00 60.00°
Positions (direct):
Co  0.750  0.750  0.750
Ni  0.500  0.500  0.500
Sc  0.250  0.250  0.250
Tl  0.000  0.000  0.000